a:
AgPtBr6: relaxed, PBE-GGA.

Cell lengths 6.473, 6.525, 6.935 Å; angles 63.36, 89.22, 60.91 degrees
Last column: magnetic moment on the atom in μB.
Atoms (fractional coordinates):
Ag1 0.000 0.000 0.000  0.12
Br1 0.733 0.827 0.259  0.10
Br2 0.098 0.179 0.260  0.10
Br3 0.452 0.453 0.267  0.12
Br4 0.548 0.547 0.733  0.12
Br5 0.902 0.821 0.740  0.10
Br6 0.267 0.173 0.741  0.10
Pt1 0.500 0.000 0.500  0.07

b:
AgPtBr6: relaxed, PBE-GGA.

Cell lengths 7.115, 7.115, 7.115 Å; angles 60.00, 60.00, 60.00 degrees
Atoms (fractional coordinates):
Ag1 0.250 0.250 0.250
Br1 0.754 0.246 0.246
Br2 0.246 0.754 0.246
Br3 0.754 0.754 0.246
Br4 0.246 0.246 0.754
Br5 0.754 0.246 0.754
Br6 0.246 0.754 0.754
Pt1 0.000 0.000 0.000

Most stable = a

a:
Rb2TlAgBr6: relaxed, PBE-GGA.

Cell lengths 7.895, 7.895, 7.895 Å; angles 121.57, 121.57, 87.31 degrees
Atoms (fractional coordinates):
Ag1 0.000 0.000 0.000
Br1 0.251 0.251 0.000
Br2 0.749 0.749 0.000
Br3 0.308 0.813 0.120
Br4 0.187 0.308 0.495
Br5 0.813 0.692 0.505
Br6 0.692 0.187 0.880
Rb1 0.750 0.250 0.500
Rb2 0.250 0.750 0.500
Tl1 0.500 0.500 0.000

b:
Rb2TlAgBr6: relaxed, PBE-GGA.

Cell lengths 7.897, 7.897, 7.897 Å; angles 59.90, 59.90, 59.90 degrees
Atoms (fractional coordinates):
Ag1 0.000 0.000 0.000
Br1 0.753 0.249 0.246
Br2 0.751 0.754 0.247
Br3 0.246 0.753 0.249
Br4 0.754 0.247 0.751
Br5 0.249 0.246 0.753
Br6 0.247 0.751 0.754
Rb1 0.250 0.250 0.250
Rb2 0.750 0.750 0.750
Tl1 0.500 0.500 0.500

Most stable = a